1.
A plane-wave DFT calculation with PBE was carried out for a relaxed structure of ErPuCdPb.

Cell and atoms, written as extended XYZ:
```
16
Lattice="7.5876 0.0000 0.0000 0.0000 7.5876 0.0000 0.0000 0.0000 7.5876" Properties=species:S:1:pos:R:3 pbc="T T T"
Er 0.0000 0.0000 0.0000
Er 0.0000 3.7938 3.7938
Er 3.7938 0.0000 3.7938
Er 3.7938 3.7938 0.0000
Pu 0.0000 0.0000 3.7938
Pu 0.0000 3.7938 0.0000
Pu 3.7938 0.0000 0.0000
Pu 3.7938 3.7938 3.7938
Cd 1.8969 1.8969 1.8969
Cd 1.8969 5.6907 5.6907
Cd 5.6907 1.8969 5.6907
Cd 5.6907 5.6907 1.8969
Pb 1.8969 1.8969 5.6907
Pb 1.8969 5.6907 1.8969
Pb 5.6907 1.8969 1.8969
Pb 5.6907 5.6907 5.6907
```

Calculated values
Energy of formation from the pure elements, eV per formula unit: -0.8
Electronic total energy, eV for the cell shown: -97.252
Symmetry: No. 216

***

2.
A plane-wave DFT calculation with PBE was carried out for a relaxed structure of ErCdRhPb.

Cell and atoms, written as extended XYZ:
```
16
Lattice="7.0295 0.0000 0.0000 0.0000 7.0295 0.0000 0.0000 0.0000 7.0295" Properties=species:S:1:pos:R:3 pbc="T T T"
Er 0.0000 0.0000 0.0000
Er 0.0000 3.5147 3.5147
Er 3.5147 0.0000 3.5147
Er 3.5147 3.5147 0.0000
Cd 1.7574 1.7574 1.7574
Cd 1.7574 5.2721 5.2721
Cd 5.2721 1.7574 5.2721
Cd 5.2721 5.2721 1.7574
Rh 1.7574 1.7574 5.2721
Rh 1.7574 5.2721 1.7574
Rh 5.2721 1.7574 1.7574
Rh 5.2721 5.2721 5.2721
Pb 0.0000 0.0000 3.5147
Pb 0.0000 3.5147 0.0000
Pb 3.5147 0.0000 0.0000
Pb 3.5147 3.5147 3.5147
```

Calculated values
Energy of formation from the pure elements, eV per formula unit: -1.1
Electronic total energy, eV for the cell shown: -70.469
Symmetry: No. 216

***

3.
A plane-wave DFT calculation with PBE was carried out for a relaxed structure of ErScCdPb.

Cell and atoms, written as extended XYZ:
```
16
Lattice="7.3429 0.0000 0.0000 0.0000 7.3429 0.0000 0.0000 0.0000 7.3429" Properties=species:S:1:pos:R:3 pbc="T T T"
Er 0.0000 0.0000 0.0000
Er 0.0000 3.6714 3.6714
Er 3.6714 0.0000 3.6714
Er 3.6714 3.6714 0.0000
Sc 0.0000 0.0000 3.6714
Sc 0.0000 3.6714 0.0000
Sc 3.6714 0.0000 0.0000
Sc 3.6714 3.6714 3.6714
Cd 1.8357 1.8357 5.5072
Cd 1.8357 5.5072 1.8357
Cd 5.5072 1.8357 1.8357
Cd 5.5072 5.5072 5.5072
Pb 1.8357 1.8357 1.8357
Pb 1.8357 5.5072 5.5072
Pb 5.5072 1.8357 5.5072
Pb 5.5072 5.5072 1.8357
```

Calculated values
Energy of formation from the pure elements, eV per formula unit: -1.3
Electronic total energy, eV for the cell shown: -67.174
Symmetry: No. 216

***

4.
A plane-wave DFT calculation with PBE was carried out for a relaxed structure of SmErCdPb.

Cell and atoms, written as extended XYZ:
```
16
Lattice="7.5942 0.0000 0.0000 0.0000 7.5942 0.0000 0.0000 0.0000 7.5942" Properties=species:S:1:pos:R:3 pbc="T T T"
Sm 0.0000 0.0000 0.0000
Sm 0.0000 3.7971 3.7971
Sm 3.7971 0.0000 3.7971
Sm 3.7971 3.7971 0.0000
Er 0.0000 0.0000 3.7971
Er 0.0000 3.7971 0.0000
Er 3.7971 0.0000 0.0000
Er 3.7971 3.7971 3.7971
Cd 1.8986 1.8986 5.6957
Cd 1.8986 5.6957 1.8986
Cd 5.6957 1.8986 1.8986
Cd 5.6957 5.6957 5.6957
Pb 1.8986 1.8986 1.8986
Pb 1.8986 5.6957 5.6957
Pb 5.6957 1.8986 5.6957
Pb 5.6957 5.6957 1.8986
```

Calculated values
Energy of formation from the pure elements, eV per formula unit: -1.5
Electronic total energy, eV for the cell shown: -61.764
Symmetry: No. 216

***

5.
A plane-wave DFT calculation with PBE was carried out for a relaxed structure of ErCdSnPb.

Cell and atoms, written as extended XYZ:
```
4
Lattice="4.4462 0.0000 0.0000 0.0000 4.7726 0.0000 0.0000 0.0000 4.8397" Properties=species:S:1:pos:R:3 pbc="T T T"
Er 0.0000 0.0000 0.0000
Cd 0.0000 2.3863 2.4198
Sn 2.2231 2.3863 0.0000
Pb 2.2231 0.0000 2.4198
```

Calculated values
Energy of formation from the pure elements, eV per formula unit: -1.3
Electronic total energy, eV for the cell shown: -14.536
Symmetry: No. 47

***

6.
A plane-wave DFT calculation with PBE was carried out for a relaxed structure of TbErCdPb.

Cell and atoms, written as extended XYZ:
```
16
Lattice="7.5374 0.0000 0.0000 0.0000 7.5374 0.0000 0.0000 0.0000 7.5374" Properties=species:S:1:pos:R:3 pbc="T T T"
Tb 0.0000 0.0000 0.0000
Tb 0.0000 3.7687 3.7687
Tb 3.7687 0.0000 3.7687
Tb 3.7687 3.7687 0.0000
Er 0.0000 0.0000 3.7687
Er 0.0000 3.7687 0.0000
Er 3.7687 0.0000 0.0000
Er 3.7687 3.7687 3.7687
Cd 1.8844 1.8844 1.8844
Cd 1.8844 5.6531 5.6531
Cd 5.6531 1.8844 5.6531
Cd 5.6531 5.6531 1.8844
Pb 1.8844 1.8844 5.6531
Pb 1.8844 5.6531 1.8844
Pb 5.6531 1.8844 1.8844
Pb 5.6531 5.6531 5.6531
```

Calculated values
Energy of formation from the pure elements, eV per formula unit: -1.5
Electronic total energy, eV for the cell shown: -61.176
Symmetry: No. 216

***

7.
A plane-wave DFT calculation with PBE was carried out for a relaxed structure of ErCd2Pd2.

Cell and atoms, written as extended XYZ:
```
5
Lattice="4.7123 0.0000 0.0000 -2.3562 4.0810 0.0000 0.0000 0.0000 5.5984" Properties=species:S:1:pos:R:3 pbc="T T T"
Er 0.0000 0.0000 0.0000
Cd 0.0000 2.7207 3.5574
Cd 2.3562 1.3603 2.0410
Pd 0.0000 2.7207 0.7970
Pd 2.3562 1.3603 4.8014
```

Calculated values
Energy of formation from the pure elements, eV per formula unit: -2.8
Electronic total energy, eV for the cell shown: -19.556
Energy relative to the lowest polymorph listed for this composition, eV per atom: 0.000
Symmetry: No. 164

***

8.
A plane-wave DFT calculation with PBE was carried out for a relaxed structure of ErCdPd2.

Cell and atoms, written as extended XYZ:
```
4
Lattice="3.5485 0.0000 0.0000 0.0000 3.5485 0.0000 0.0000 0.0000 6.1089" Properties=species:S:1:pos:R:3 pbc="T T T"
Er 0.0000 0.0000 0.0000
Cd 0.0000 0.0000 3.0544
Pd 1.7743 1.7743 1.5696
Pd 1.7743 1.7743 4.5393
```

Calculated values
Energy of formation from the pure elements, eV per formula unit: -2.8
Electronic total energy, eV for the cell shown: -18.703
Energy relative to the lowest polymorph listed for this composition, eV per atom: 0.048
Symmetry: No. 123